Entry 1:
A plane-wave DFT calculation with PBE was carried out for an optimized crystal structure of SrLa2GeAu.

## Properties
ΔE_f: 931 meV/atom
Space group: P4/mmm

The structure in POSCAR format:
```
SrLa2GeAu
1.0
6.272 0.000 0.000
0.000 6.272 0.000
0.000 0.000 5.481
Sr La Ge Au
1 2 1 1
Cartesian
0.000 0.000 0.000
0.000 3.136 0.000
3.136 0.000 0.000
0.000 0.000 2.741
3.136 3.136 2.741
```

=====

Entry 2:
A plane-wave DFT calculation with PBE was carried out for an optimized crystal structure of Rb2RhF7.

## Properties
Polymorph energy (0 for the lowest one): 0 meV/atom
Raw formation energy: -1.97 eV/atom
Space group: C2/c

The structure in POSCAR format:
```
Rb2RhF7
1.0
7.321 -3.166 0.000
7.321 3.166 0.000
-7.250 0.000 7.522
Rb Rh F
4 2 14
Cartesian
0.609 0.402 2.043
-3.016 -0.402 5.804
10.409 0.402 1.718
6.784 -0.402 5.479
5.509 0.254 1.880
1.884 -0.254 5.641
5.509 2.214 1.880
1.968 1.350 4.488
6.065 0.844 0.112
3.600 0.266 1.317
1.800 1.350 6.795
-0.025 -0.266 5.078
4.952 0.844 3.649
2.440 -0.844 3.872
7.417 0.266 2.444
5.593 -1.350 0.727
3.793 -0.266 6.205
1.327 -0.844 7.410
5.425 -1.350 3.034
1.884 -2.214 5.641
```

=====

Entry 3:
A plane-wave DFT calculation with PBE was carried out for an optimized crystal structure of Mn2MoRu.

## Properties
ΔE_f: 104 meV/atom
Space group: Imm2

The structure in POSCAR format:
```
Mn2MoRu
1.0
-1.540 2.083 4.282
1.540 -2.083 4.282
1.540 2.083 -4.282
Mn Mo Ru
2 1 1
Cartesian
0.000 0.000 0.000
0.000 2.083 2.153
0.000 0.000 4.300
1.540 0.000 2.150
```

=====

Entry 4:
A plane-wave DFT calculation with PBE was carried out for an optimized crystal structure of TbAl2Ga4.

## Properties
ΔE_f: 18 meV/atom
Polymorph energy (0 for the lowest one): 200 meV/atom
Space group: P-42m

The structure in POSCAR format:
```
TbAl2Ga4
1.0
3.982 0.000 0.000
0.000 3.982 0.000
0.000 0.000 9.594
Tb Al Ga
1 2 4
Cartesian
0.000 0.000 0.000
0.000 1.991 4.797
1.991 0.000 4.797
1.023 1.023 2.515
1.023 2.959 7.079
2.959 1.023 7.079
2.959 2.959 2.515
```

=====

Entry 5:
A plane-wave DFT calculation with PBE was carried out for an optimized crystal structure of YMn2Rh.

## Properties
ΔE_f: 189 meV/atom
Space group: I-42d

The structure in POSCAR format:
```
YMn2Rh
1.0
-3.740 3.740 2.758
3.740 -3.740 2.758
3.740 3.740 -2.758
Y Mn Rh
2 4 2
Cartesian
0.000 0.000 0.000
0.000 3.740 1.379
1.870 -1.481 2.069
2.259 1.870 0.690
1.870 5.221 -0.690
1.481 1.870 3.448
3.740 0.000 1.379
0.000 0.000 2.758
```

=====

Entry 6:
A plane-wave DFT calculation with PBE was carried out for an optimized crystal structure of ErH3Pd6.

## Properties
Space group: P1
Total DFT energy (no corrections): -4.9061 eV per atom

The structure in POSCAR format:
```
ErH3Pd6
1.0
5.506 0.000 0.000
-2.511 4.939 0.000
-1.164 -2.648 4.984
Er H Pd
1 3 6
Cartesian
0.000 0.000 0.000
-0.932 0.626 4.710
1.553 -0.917 3.084
2.512 1.842 1.442
-2.784 3.390 2.320
-0.774 2.193 3.868
-0.064 3.469 1.484
0.629 -0.368 4.789
1.229 0.961 2.328
3.261 -0.248 3.869
```

=====

Number 1: calculated density 4.89 Mg/m³. Number 2: calculated density 3.87 Mg/m³. Number 3: calculated density 9.27 Mg/m³. Number 4: calculated density 5.37 Mg/m³. Number 5: calculated density 6.49 Mg/m³. Number 6: calculated density 9.91 Mg/m³.